First-principles (PBE-GGA) data for a relaxed PuMg2Zn crystal, as listed in the Alexandria database.

M_tot in μB/f.u.: 5.2
E_form in eV per atom: 0.225
Electronic total energy in Ha/atom: -0.16439

abc: 3.0020 3.0020 33.4025
angles: 90.00 90.00 120.00
Space group R-3m (No. 166, hexagonal axes)
Inequivalent atoms, fractional coordinates:
Pu (0.0000, 0.0000, 0.0000)
Mg (0.0000, 0.0000, 0.0953)
Zn (0.0000, 0.0000, 0.5000)

---

First-principles (PBE-GGA) data for a relaxed Nd2Pa4Rh9 crystal, as listed in the Alexandria database.

M_tot in μB/f.u.: 0.0
E_form in eV per atom: -0.684
Electronic total energy in Ha/atom: -0.30366

abc: 4.5926 4.5926 17.2401
angles: 90.00 90.00 120.00
Space group P-3m1 (No. 164)
Inequivalent atoms, fractional coordinates:
Nd (0.3333, 0.6667, 0.2511)
Pa (0.3333, 0.6667, 0.5990)
Pa (0.3333, 0.6667, 0.9095)
Rh (0.0000, 0.0000, 0.0000)
Rh (0.0000, 0.0000, 0.1640)
Rh (0.0000, 0.0000, 0.3419)
Rh (0.3333, 0.6667, 0.0795)
Rh (0.3333, 0.6667, 0.4321)

---

First-principles (PBE-GGA) data for a relaxed Fe3Pd4 crystal, as listed in the Alexandria database.

M_tot in μB/f.u.: 10.2
Relative energy among the computed polymorphs in meV/atom: 0
E_form in eV per atom: -0.045
Electronic total energy in Ha/atom: -0.24397

abc: 8.6477 3.8144 6.0516
angles: 90.00 96.73 90.00
Space group C2/m (No. 12)
Inequivalent atoms, fractional coordinates:
Fe (0.0000, 0.0000, 0.0000)
Fe (0.2198, 0.5000, 0.1438)
Pd (0.0708, 0.5000, 0.7367)
Pd (0.1439, 0.0000, 0.4177)

---

First-principles (PBE-GGA) data for a relaxed TlNiOs crystal, as listed in the Alexandria database.

M_tot in μB/f.u.: 1.0
Relative energy among the computed polymorphs in meV/atom: 155
E_form in eV per atom: 0.857
Electronic total energy in Ha/atom: -0.20587

abc: 2.9519 4.9835 13.6022
angles: 90.00 90.00 90.00
Space group Fmm2 (No. 42)
Inequivalent atoms, fractional coordinates:
Tl (0.0000, 0.0000, 0.0000)
Ni (0.0000, 0.0000, 0.3311)
Os (0.0000, 0.0000, 0.6868)

---

First-principles (PBE-GGA) data for a relaxed ReRu2Au crystal, as listed in the Alexandria database.

M_tot in μB/f.u.: 0.0
Relative energy among the computed polymorphs in meV/atom: 384
E_form in eV per atom: 0.523
Electronic total energy in Ha/atom: -0.29569

abc: 6.2536 6.2536 6.2536
angles: 90.00 90.00 90.00
Space group Fm-3m (No. 225)
Inequivalent atoms, fractional coordinates:
Re (0.0000, 0.0000, 0.0000)
Ru (0.2500, 0.2500, 0.2500)
Au (0.0000, 0.0000, 0.5000)

---

First-principles (PBE-GGA) data for a relaxed Ca2VIn4 crystal, as listed in the Alexandria database.

M_tot in μB/f.u.: 0.0
E_form in eV per atom: 0.046
Electronic total energy in Ha/atom: -0.12469

abc: 5.1670 5.1670 15.9556
angles: 90.00 90.00 90.00
Space group I4/mmm (No. 139)
Inequivalent atoms, fractional coordinates:
Ca (0.0000, 0.0000, 0.1328)
V (0.0000, 0.0000, 0.5000)
In (0.0000, 0.0000, 0.3343)
In (0.0000, 0.5000, 0.0000)

---

First-principles (PBE-GGA) data for a relaxed Hg3ICl crystal, as listed in the Alexandria database.

M_tot in μB/f.u.: 0.0
Relative energy among the computed polymorphs in meV/atom: 240
Formation energy from raw total energies in kJ/mol of formula units: 68.6
Electronic total energy in Ha/atom: -0.02639

abc: 6.0241 6.0241 6.0241
angles: 90.00 90.00 90.00
Space group Pm-3m (No. 221)
Inequivalent atoms, fractional coordinates:
Hg (0.0000, 0.0000, 0.5000)
I (0.0000, 0.0000, 0.0000)
Cl (0.5000, 0.5000, 0.5000)

---

First-principles (PBE-GGA) data for a relaxed AlTl2Cd crystal, as listed in the Alexandria database.

M_tot in μB/f.u.: 0.0
E_form in eV per atom: 0.266
Electronic total energy in Ha/atom: -0.07648

abc: 4.4540 4.4540 22.0307
angles: 90.00 90.00 90.00
Space group I-42d (No. 122)
Inequivalent atoms, fractional coordinates:
Al (0.0000, 0.0000, 0.0000)
Tl (0.2455, 0.2500, 0.1250)
Cd (0.0000, 0.0000, 0.5000)

---

First-principles (PBE-GGA) data for a relaxed CoNi3Bi crystal, as listed in the Alexandria database.

M_tot in μB/f.u.: 3.5
Relative energy among the computed polymorphs in meV/atom: 0
E_form in eV per atom: 0.702
Electronic total energy in Ha/atom: -0.18242

abc: 4.3652 4.3652 4.3652
angles: 90.00 90.00 90.00
Space group Pm-3m (No. 221)
Inequivalent atoms, fractional coordinates:
Co (0.0000, 0.0000, 0.0000)
Ni (0.0000, 0.0000, 0.5000)
Bi (0.5000, 0.5000, 0.5000)

---

First-principles (PBE-GGA) data for a relaxed HfSc3Al8 crystal, as listed in the Alexandria database.

M_tot in μB/f.u.: 0.0
Relative energy among the computed polymorphs in meV/atom: 0
E_form in eV per atom: -0.472
Electronic total energy in Ha/atom: -0.19768

abc: 5.3321 5.3321 26.1682
angles: 90.00 90.00 120.00
Space group R3m (No. 160, hexagonal axes)
Inequivalent atoms, fractional coordinates:
Hf (0.0000, 0.0000, 0.0000)
Sc (0.0000, 0.0000, 0.3747)
Sc (0.0000, 0.0000, 0.4998)
Sc (0.0000, 0.0000, 0.8752)
Al (0.0000, 0.0000, 0.1873)
Al (0.0000, 0.0000, 0.6874)
Al (0.0002, 0.5001, 0.9382)
Al (0.1670, 0.3340, 0.7700)

---

First-principles (PBE-GGA) data for a relaxed BaBr3 crystal, as listed in the Alexandria database.

M_tot in μB/f.u.: 1.0
Formation energy from raw total energies in kJ/mol of formula units: -526.2
Electronic total energy in Ha/atom: -0.11388

abc: 8.0654 8.0654 8.0654
angles: 90.00 90.00 90.00
Space group Fm-3m (No. 225)
Inequivalent atoms, fractional coordinates:
Ba (0.0000, 0.0000, 0.0000)
Br (0.0000, 0.0000, 0.5000)
Br (0.2500, 0.2500, 0.2500)

---

First-principles (PBE-GGA) data for a relaxed CsNaIBr crystal, as listed in the Alexandria database.

M_tot in μB/f.u.: 0.0
Relative energy among the computed polymorphs in meV/atom: 0
Formation energy from raw total energies in kJ/mol of formula units: -575.7
Electronic total energy in Ha/atom: -0.10439

abc: 4.8282 4.8282 24.8601
angles: 90.00 90.00 120.00
Space group R3m (No. 160, hexagonal axes)
Inequivalent atoms, fractional coordinates:
Cs (0.0000, 0.0000, 0.0000)
Na (0.0000, 0.0000, 0.5102)
I (0.0000, 0.0000, 0.7723)
Br (0.0000, 0.0000, 0.2413)

---

First-principles (PBE-GGA) data for a relaxed KZrNi2Mo crystal, as listed in the Alexandria database.

M_tot in μB/f.u.: 3.7
E_form in eV per atom: 1.834
Electronic total energy in Ha/atom: -0.16807

abc: 4.6586 4.6586 5.3029
angles: 90.00 90.00 90.00
Space group P4/mmm (No. 123)
Inequivalent atoms, fractional coordinates:
K (0.0000, 0.0000, 0.0000)
Zr (0.0000, 0.0000, 0.5000)
Ni (0.0000, 0.5000, 0.5000)
Mo (0.5000, 0.5000, 0.0000)

---

First-principles (PBE-GGA) data for a relaxed Fe2Co2Pt7 crystal, as listed in the Alexandria database.

M_tot in μB/f.u.: 12.7
E_form in eV per atom: -0.062
Electronic total energy in Ha/atom: -0.24758

abc: 4.1295 11.8012 6.6629
angles: 90.00 90.00 90.00
Space group Imm2 (No. 44)
Inequivalent atoms, fractional coordinates:
Fe (0.0000, 0.1959, 0.0000)
Co (0.0000, 0.0000, 0.7916)
Co (0.0000, 0.5000, 0.0112)
Pt (0.0000, 0.0000, 0.1843)
Pt (0.0000, 0.1479, 0.5066)
Pt (0.0000, 0.3501, 0.7189)
Pt (0.0000, 0.3531, 0.2901)

---

First-principles (PBE-GGA) data for a relaxed EuTiZn2 crystal, as listed in the Alexandria database.

M_tot in μB/f.u.: 7.4
E_form in eV per atom: -0.120
Electronic total energy in Ha/atom: -0.19475

abc: 3.3493 3.3493 7.1629
angles: 90.00 90.00 90.00
Space group P4/mmm (No. 123)
Inequivalent atoms, fractional coordinates:
Eu (0.0000, 0.0000, 0.0000)
Ti (0.0000, 0.0000, 0.5000)
Zn (0.5000, 0.5000, 0.3062)

---

First-principles (PBE-GGA) data for a relaxed PmIn6Au12 crystal, as listed in the Alexandria database.

M_tot in μB/f.u.: 0.0
E_form in eV per atom: -0.195
Electronic total energy in Ha/atom: -0.12421

abc: 12.4593 12.4593 9.2843
angles: 90.00 90.00 120.00
Space group R-3m (No. 166, hexagonal axes)
Inequivalent atoms, fractional coordinates:
Pm (0.0000, 0.0000, 0.0000)
In (0.0648, 0.5324, 0.2375)
Au (0.0000, 0.3873, 0.5000)
Au (0.0805, 0.1610, 0.2681)

---

First-principles (PBE-GGA) data for a relaxed P2OsRu crystal, as listed in the Alexandria database.

M_tot in μB/f.u.: 0.0
Relative energy among the computed polymorphs in meV/atom: 208
E_form in eV per atom: -0.138
Electronic total energy in Ha/atom: -0.29287

abc: 3.6763 2.8576 5.6249
angles: 90.00 91.02 90.00
Space group Pm (No. 6)
Inequivalent atoms, fractional coordinates:
P (0.0000, 0.0000, 0.0000)
P (0.3316, 0.5000, 0.4946)
Os (0.8360, 0.0000, 0.6070)
Ru (0.4990, 0.5000, 0.1081)

---

First-principles (PBE-GGA) data for a relaxed TbY3As4 crystal, as listed in the Alexandria database.

M_tot in μB/f.u.: 0.0
E_form in eV per atom: -1.557
Electronic total energy in Ha/atom: -0.25300

abc: 5.8336 5.8336 5.8336
angles: 90.00 90.00 90.00
Space group Pm-3m (No. 221)
Inequivalent atoms, fractional coordinates:
Tb (0.0000, 0.0000, 0.0000)
Y (0.0000, 0.5000, 0.5000)
As (0.0000, 0.0000, 0.5000)
As (0.5000, 0.5000, 0.5000)

---

First-principles (PBE-GGA) data for a relaxed TiAuSe2N crystal, as listed in the Alexandria database.

M_tot in μB/f.u.: 0.4
Relative energy among the computed polymorphs in meV/atom: 805
Formation energy from raw total energies in kJ/mol of formula units: 456.0
Electronic total energy in Ha/atom: -0.15979

abc: 5.2314 5.2314 3.7731
angles: 90.00 90.00 90.00
Space group P4/mmm (No. 123)
Inequivalent atoms, fractional coordinates:
Ti (0.0000, 0.0000, 0.0000)
Au (0.5000, 0.5000, 0.5000)
Se (0.0000, 0.5000, 0.5000)
N (0.5000, 0.5000, 0.0000)

---

First-principles (PBE-GGA) data for a relaxed CaLa3Ru crystal, as listed in the Alexandria database.

M_tot in μB/f.u.: 0.0
Relative energy among the computed polymorphs in meV/atom: 268
E_form in eV per atom: 0.096
Electronic total energy in Ha/atom: -0.18799

abc: 5.6067 9.7427 12.5004
angles: 90.00 90.00 90.00
Space group Cmcm (No. 63)
Inequivalent atoms, fractional coordinates:
Ca (0.0000, 0.1677, 0.2500)
La (0.0000, 0.1662, 0.5476)
La (0.0000, 0.4994, 0.7500)
Ru (0.0000, 0.1658, 0.7500)

---

First-principles (PBE-GGA) data for a relaxed Sc2CrB2Rh5 crystal, as listed in the Alexandria database.

M_tot in μB/f.u.: 2.6
E_form in eV per atom: -0.690
Electronic total energy in Ha/atom: -0.29142

abc: 9.3298 9.3298 3.0935
angles: 90.00 90.00 90.00
Space group P4/mbm (No. 127)
Inequivalent atoms, fractional coordinates:
Sc (0.1756, 0.3244, 0.0000)
Cr (0.0000, 0.0000, 0.0000)
B (0.1246, 0.6246, 0.0000)
Rh (0.0000, 0.5000, 0.5000)
Rh (0.0710, 0.7820, 0.5000)

---

First-principles (PBE-GGA) data for a relaxed Zr2CrHg crystal, as listed in the Alexandria database.

M_tot in μB/f.u.: 0.0
Relative energy among the computed polymorphs in meV/atom: 170
E_form in eV per atom: 0.156
Electronic total energy in Ha/atom: -0.24253

abc: 6.7760 6.7760 6.7760
angles: 90.00 90.00 90.00
Space group Fm-3m (No. 225)
Inequivalent atoms, fractional coordinates:
Zr (0.2500, 0.2500, 0.2500)
Cr (0.0000, 0.0000, 0.0000)
Hg (0.0000, 0.0000, 0.5000)

---

First-principles (PBE-GGA) data for a relaxed Hf2NbCo crystal, as listed in the Alexandria database.

M_tot in μB/f.u.: 0.9
Relative energy among the computed polymorphs in meV/atom: 145
E_form in eV per atom: -0.026
Electronic total energy in Ha/atom: -0.34163

abc: 6.5637 6.5637 6.5637
angles: 90.00 90.00 90.00
Space group Fm-3m (No. 225)
Inequivalent atoms, fractional coordinates:
Hf (0.2500, 0.2500, 0.2500)
Nb (0.0000, 0.0000, 0.0000)
Co (0.0000, 0.0000, 0.5000)

---

First-principles (PBE-GGA) data for a relaxed PuPa2Cr crystal, as listed in the Alexandria database.

M_tot in μB/f.u.: 4.6
Relative energy among the computed polymorphs in meV/atom: 0
E_form in eV per atom: 0.213
Electronic total energy in Ha/atom: -0.38674

abc: 3.4207 3.4207 7.1031
angles: 90.00 90.00 90.00
Space group P4/mmm (No. 123)
Inequivalent atoms, fractional coordinates:
Pu (0.0000, 0.0000, 0.0000)
Pa (0.5000, 0.5000, 0.2697)
Cr (0.0000, 0.0000, 0.5000)

---

First-principles (PBE-GGA) data for a relaxed LaTa2Os2 crystal, as listed in the Alexandria database.

M_tot in μB/f.u.: 0.0
Relative energy among the computed polymorphs in meV/atom: 0
E_form in eV per atom: -0.293
Electronic total energy in Ha/atom: -0.38630

abc: 4.4148 4.4148 10.9157
angles: 90.00 90.00 90.00
Space group I4/mmm (No. 139)
Inequivalent atoms, fractional coordinates:
La (0.0000, 0.0000, 0.0000)
Ta (0.0000, 0.5000, 0.2500)
Os (0.0000, 0.0000, 0.3793)

---

First-principles (PBE-GGA) data for a relaxed SmHoScGa crystal, as listed in the Alexandria database.

M_tot in μB/f.u.: 1.0
E_form in eV per atom: -0.143
Electronic total energy in Ha/atom: -0.17664

abc: 7.4019 7.4019 7.4019
angles: 90.00 90.00 90.00
Space group F-43m (No. 216)
Inequivalent atoms, fractional coordinates:
Sm (0.0000, 0.0000, 0.0000)
Ho (0.0000, 0.0000, 0.5000)
Sc (0.2500, 0.2500, 0.7500)
Ga (0.2500, 0.2500, 0.2500)